# 1
LaSbP2O | PBE | optimized geometry

Geometry as POSCAR:
```
LaSbP2O
1.0
5.0675 0.0000 0.0000
0.0000 5.0675 0.0000
0.0000 0.0000 4.1272
La Sb P O
1 1 2 1
Direct
0.0000 0.0000 0.0000
0.5000 0.5000 0.5000
0.0000 0.5000 0.5000
0.5000 0.0000 0.5000
0.5000 0.5000 0.0000
```

Results
space-group type = P4/mmm, No. 123
VASP energy = -0.2047 hartree per atom

***

# 2
LaScPO2 | PBE | optimized geometry

Geometry as POSCAR:
```
LaScPO2
1.0
4.2160 0.0000 0.0000
0.0000 4.2160 0.0000
0.0000 0.0000 6.2626
La Sc P O
1 1 1 2
Direct
0.0000 0.0000 0.0000
0.5000 0.5000 0.5000
0.0000 0.0000 0.5000
0.0000 0.5000 0.0000
0.5000 0.0000 0.0000
```

Results
space-group type = P4/mmm, No. 123
VASP energy = -0.2436 hartree per atom

***

# 3
LaScP2O | PBE | optimized geometry

Geometry as POSCAR:
```
LaScP2O
1.0
5.4572 0.0000 0.0000
0.0000 5.4572 0.0000
0.0000 0.0000 4.1747
La Sc P O
1 1 2 1
Direct
0.0000 0.0000 0.0000
0.5000 0.5000 0.5000
0.0000 0.5000 0.0000
0.5000 0.0000 0.0000
0.0000 0.0000 0.5000
```

Results
space-group type = P4/mmm, No. 123
VASP energy = -0.2130 hartree per atom

***

# 4
LaScP2O | PBE | optimized geometry

Geometry as POSCAR:
```
LaScP2O
1.0
5.0605 0.0000 0.0000
0.0000 5.0605 0.0000
0.0000 0.0000 4.0319
La Sc P O
1 1 2 1
Direct
0.0000 0.0000 0.0000
0.5000 0.5000 0.5000
0.0000 0.5000 0.5000
0.5000 0.0000 0.5000
0.5000 0.5000 0.0000
```

Results
space-group type = P4/mmm, No. 123
VASP energy = -0.2453 hartree per atom

***

# 5
LaScPO2 | PBE | optimized geometry

Geometry as POSCAR:
```
LaScPO2
1.0
4.1660 0.0000 0.0000
0.0000 4.1660 0.0000
0.0000 0.0000 5.0512
La Sc P O
1 1 1 2
Direct
0.0000 0.0000 0.0000
0.5000 0.5000 0.5000
0.5000 0.5000 0.0000
0.0000 0.5000 0.5000
0.5000 0.0000 0.5000
```

Results
space-group type = P4/mmm, No. 123
VASP energy = -0.2721 hartree per atom

***

# 6
LaPSeO2 | PBE | optimized geometry

Geometry as POSCAR:
```
LaPSeO2
1.0
4.1452 0.0000 0.0000
0.0000 4.1452 0.0000
0.0000 0.0000 7.0663
La P Se O
1 1 1 2
Direct
0.0000 0.0000 0.0000
0.0000 0.0000 0.5000
0.5000 0.5000 0.5000
0.0000 0.5000 0.0000
0.5000 0.0000 0.0000
```

Results
space-group type = P4/mmm, No. 123
VASP energy = -0.2005 hartree per atom

***

# 7
La8P3Se4O | PBE | optimized geometry

Geometry as POSCAR:
```
La8P3Se4O
1.0
4.1900 2.4191 7.0399
-4.1900 2.4191 7.0399
0.0000 -4.8381 7.0399
La P Se O
8 3 4 1
Direct
0.2445 0.2445 0.2445
0.2530 0.7350 0.7350
0.2650 0.2650 0.7470
0.2650 0.7470 0.2650
0.7350 0.2530 0.7350
0.7350 0.7350 0.2530
0.7470 0.2650 0.2650
0.7555 0.7555 0.7555
0.0000 0.0000 0.5000
0.0000 0.5000 0.0000
0.5000 0.0000 0.0000
0.0000 0.0000 0.0000
0.0000 0.5000 0.5000
0.5000 0.0000 0.5000
0.5000 0.5000 0.0000
0.5000 0.5000 0.5000
```

Results
space-group type = R-3m, No. 166
VASP energy = -0.2427 hartree per atom

***

# 8
La8P3Se3O | PBE | optimized geometry

Geometry as POSCAR:
```
La8P3Se3O
1.0
4.1828 2.4150 7.0605
-4.1828 2.4150 7.0605
0.0000 -4.8299 7.0605
La P Se O
8 3 3 1
Direct
0.2443 0.2443 0.2443
0.2626 0.7265 0.7265
0.2735 0.2735 0.7374
0.2735 0.7374 0.2735
0.7265 0.2626 0.7265
0.7265 0.7265 0.2626
0.7374 0.2735 0.2735
0.7557 0.7557 0.7557
0.0000 0.0000 0.5000
0.0000 0.5000 0.0000
0.5000 0.0000 0.0000
0.0000 0.5000 0.5000
0.5000 0.0000 0.5000
0.5000 0.5000 0.0000
0.5000 0.5000 0.5000
```

Results
space-group type = R-3m, No. 166
VASP energy = -0.2393 hartree per atom

***

# 9
LaPSeO2 | PBE | optimized geometry

Geometry as POSCAR:
```
LaPSeO2
1.0
4.1824 0.0000 0.0000
0.0000 4.1824 0.0000
0.0000 0.0000 4.7396
La P Se O
1 1 1 2
Direct
0.0000 0.0000 0.0000
0.5000 0.5000 0.0000
0.5000 0.5000 0.5000
0.0000 0.5000 0.5000
0.5000 0.0000 0.5000
```

Results
space-group type = P4/mmm, No. 123
VASP energy = -0.2100 hartree per atom

***

# 10
LaP2SeO | PBE | optimized geometry

Geometry as POSCAR:
```
LaP2SeO
1.0
5.7288 0.0000 0.0000
0.0000 5.7288 0.0000
0.0000 0.0000 4.1716
La P Se O
1 2 1 1
Direct
0.0000 0.0000 0.0000
0.0000 0.5000 0.0000
0.5000 0.0000 0.0000
0.5000 0.5000 0.5000
0.0000 0.0000 0.5000
```

Results
space-group type = P4/mmm, No. 123
VASP energy = -0.1705 hartree per atom

***

# 11
LaP2SeO | PBE | optimized geometry

Geometry as POSCAR:
```
LaP2SeO
1.0
4.8151 0.0000 0.0000
0.0000 4.8151 0.0000
0.0000 0.0000 4.1562
La P Se O
1 2 1 1
Direct
0.0000 0.0000 0.0000
0.0000 0.5000 0.5000
0.5000 0.0000 0.5000
0.5000 0.5000 0.5000
0.5000 0.5000 0.0000
```

Results
space-group type = P4/mmm, No. 123
VASP energy = -0.1925 hartree per atom

***

# 12
LaSiP2O | PBE | optimized geometry

Geometry as POSCAR:
```
LaSiP2O
1.0
5.0422 0.0000 0.0000
0.0000 5.0422 0.0000
0.0000 0.0000 3.4201
La Si P O
1 1 2 1
Direct
0.0000 0.0000 0.0000
0.5000 0.5000 0.5000
0.0000 0.5000 0.5000
0.5000 0.0000 0.5000
0.5000 0.5000 0.0000
```

Results
space-group type = P4/mmm, No. 123
VASP energy = -0.2247 hartree per atom

***

Asked for energy relative to the elements, uncorrected across the records above, the calculation gives -0.60, -1.31, -0.39, -1.27, -2.09, -0.71, -1.95, -1.77, -0.97, 0.20, -0.40, -0.89 eV per atom in order.